14
Lattice="5.7853 0.0087 0.0062 2.8037 5.0605 0.0062 2.8037 1.6548 4.7823" Properties=species:S:1:pos:R:3 comment="PBE with a Hubbard U Li2Fe3CoO8, optimized geometry" mass_density_g_cm3=4.376 relative_energy_ev_per_fu=1.04 space_group="R-3m, No. 166" dos_ef_per_ev_atom=0.258 pbc="T T T"
Li 10.0080 5.9067 4.2120
Li 1.3848 0.8173 0.5828
Fe 2.8037 3.3576 2.3943
Fe 4.2945 0.8317 2.3943
Fe 4.2945 2.5346 0.0062
Co 5.6964 3.3620 2.3974
O 8.4253 4.9726 3.5459
O 7.1164 4.2001 1.4137
O 7.1164 2.7051 3.5102
O 5.8076 4.9226 3.5102
O 5.5852 1.8014 1.2845
O 4.2764 4.0189 1.2845
O 4.2764 2.5239 3.3811
O 2.9675 1.7514 1.2489